Material: ZrPbNO
Method: DFT, PBE
State: optimized geometry

```
8
Lattice="3.119 -3.120 0.000 3.119 3.120 0.000 0.000 0.000 7.631" Properties=species:S:1:pos:R:3 pbc="T T T"
N 3.119 -1.560 2.427
N 3.119 1.560 5.204
O 1.560 0.000 0.000
O 4.679 0.000 0.000
Pb 1.560 0.000 3.816
Pb 4.679 0.000 3.816
Zr 3.119 -1.560 0.489
Zr 3.119 1.560 7.142
```

Summary:
- SG = P4/nmm (129)
- crystal system = tetragonal

Material: PmPdNO
Method: DFT, PBE
State: optimized geometry

```
8
Lattice="-0.395 4.624 1.755 -0.585 -1.791 4.590 4.506 0.145 0.631" Properties=species:S:1:pos:R:3 pbc="T T T"
N 1.517 2.197 5.073
N 2.009 0.781 1.902
O -0.442 3.022 2.464
O -0.537 -0.188 3.882
Pd -0.733 2.125 4.759
Pd 4.260 0.854 2.217
Pm 1.811 3.093 2.778
Pm 1.716 -0.115 4.196
```

Summary:
- SG = P4/mmm (123)
- crystal system = tetragonal

Per-record relative energy among the computed polymorphs, eV per formula unit: 1.00 1.45
Per-record magnetic moment, μB per atom: 0.00 0.00